Record 1
Mg6ZnCd2 | PBE | optimized geometry

Results
space-group type = C2/m (12)
theoretical density = 3619 kg/m³
E_form = -22 meV/atom

Cell: 6.818 6.818 5.070 Å, 111.60 111.60 72.60°
Sites, in units of the cell vectors:
Mg (0.142, 0.533, 0.337)
Mg (0.183, 0.817, 0.000)
Mg (0.467, 0.858, 0.663)
Mg (0.533, 0.142, 0.337)
Mg (0.817, 0.183, 0.000)
Mg (0.858, 0.467, 0.663)
Zn (0.000, 0.000, 0.500)
Cd (0.333, 0.333, 0.833)
Cd (0.667, 0.667, 0.167)

Record 2
Mg17Zn11Cd | PBE | optimized geometry

Results
space-group type = Cm (8)
theoretical density = 3738 kg/m³
E_form = -61 meV/atom

Cell: 8.971 8.971 8.769 Å, 109.40 109.40 108.10°
Sites, in units of the cell vectors:
Mg (0.000, 0.000, 0.000)
Mg (0.000, 0.341, 0.994)
Mg (0.001, 0.001, 0.349)
Mg (0.006, 0.323, 0.606)
Mg (0.007, 0.609, 0.317)
Mg (0.289, 0.685, 0.682)
Mg (0.318, 0.614, 0.003)
Mg (0.323, 0.006, 0.606)
Mg (0.341, 0.000, 0.994)
Mg (0.402, 0.402, 0.715)
Mg (0.404, 0.727, 0.403)
Mg (0.609, 0.007, 0.317)
Mg (0.614, 0.318, 0.003)
Mg (0.667, 0.667, 0.662)
Mg (0.685, 0.289, 0.682)
Mg (0.693, 0.693, 0.288)
Mg (0.727, 0.404, 0.403)
Zn (0.007, 0.822, 0.635)
Zn (0.171, 0.362, 0.366)
Zn (0.181, 0.181, 0.806)
Zn (0.181, 0.825, 0.183)
Zn (0.362, 0.171, 0.366)
Zn (0.634, 0.815, 0.001)
Zn (0.634, 0.998, 0.811)
Zn (0.815, 0.634, 0.001)
Zn (0.822, 0.007, 0.635)
Zn (0.825, 0.181, 0.183)
Zn (0.998, 0.634, 0.811)
Cd (0.377, 0.377, 0.185)